[1]
# PBE CeTmH, relaxed
# - total magnetic moment (μB per atom) = 0.254
# - excess energy over the best structure of this formula in the dataset (meV/atom) = 0
data_CeTmH
_space_group_name_H-M_alt 'P 3 m 1'
_space_group_IT_number 156
_cell_length_a 3.4732
_cell_length_b 3.4732
_cell_length_c 5.8008
_cell_angle_alpha 90.00
_cell_angle_beta 90.00
_cell_angle_gamma 120.00
loop_
_space_group_symop_operation_xyz
'x,y,z'
'-y,x-y,z'
'-x+y,-x,z'
'-y,-x,z'
'-x+y,y,z'
'x,x-y,z'
loop_
_atom_site_label
_atom_site_type_symbol
_atom_site_fract_x
_atom_site_fract_y
_atom_site_fract_z
Ce1 Ce 0.0000 0.0000 0.0000
Tm1 Tm 0.6667 0.3333 0.5073
H1 H 0.3333 0.6667 0.7360

=====

[2]
# PBE Nd2ErLu, relaxed
# - total magnetic moment (μB per atom) = 0.000
# - excess energy over the best structure of this formula in the dataset (meV/atom) = 0
data_Nd2ErLu
_space_group_name_H-M_alt 'R -3 m'
_space_group_IT_number 166
_space_group_name_Hall '-R 3 2"'
_cell_length_a 3.5894
_cell_length_b 3.5894
_cell_length_c 34.6899
_cell_angle_alpha 90.00
_cell_angle_beta 90.00
_cell_angle_gamma 120.00
loop_
_atom_site_label
_atom_site_type_symbol
_atom_site_fract_x
_atom_site_fract_y
_atom_site_fract_z
Nd1 Nd 0.0000 0.0000 0.2495
Er1 Er 0.0000 0.0000 0.0000
Lu1 Lu 0.0000 0.0000 0.5000